VASP calculation (PBE) on a relaxed La2FeGe crystal.

abc: 6.351 6.351 6.351
angles: 103.41 103.41 122.42
Atoms (fractional coordinates):
La1 0.062 0.125 0.437
La2 0.375 0.938 0.063
La3 0.688 0.625 0.563
La4 0.875 0.312 0.937
Fe1 0.000 0.000 0.000
Fe2 0.750 0.250 0.500
Ge1 0.250 0.750 0.500
Ge2 0.500 0.500 0.000

Properties
- V (Å³ per cell) = 189.48
- energy relative to the elements (eV per atom) = 0.031
- space-group type = I-42d
- total moment (μB per formula unit) = 0.0

VASP calculation (PBE) on a relaxed PmNdHo4 crystal.

abc: 8.862 8.862 6.237
angles: 96.63 96.63 23.40
Atoms (fractional coordinates):
Pm1 0.000 0.000 0.000
Nd1 0.500 0.500 0.500
Ho1 0.168 0.168 0.389
Ho2 0.332 0.332 0.111
Ho3 0.668 0.668 0.889
Ho4 0.832 0.832 0.611

Properties
- V (Å³ per cell) = 193.20
- E above lowest polymorph (meV/atom) = 0
- energy relative to the elements (eV per atom) = -0.007
- space-group type = C2/m
- total moment (μB per formula unit) = 0.0

VASP calculation (PBE) on a relaxed LiPO2 crystal.

abc: 5.976 5.976 5.976
angles: 29.87 29.87 29.87
Atoms (fractional coordinates):
Li1 0.000 0.000 0.000
P1 0.500 0.500 0.500
O1 0.103 0.103 0.103
O2 0.897 0.897 0.897

Properties
- V (Å³ per cell) = 46.90
- uncorrected formation energy (kcal/mol of atoms) = -20.36
- space-group type = R-3m
- total moment (μB per formula unit) = 0.0

- What is the formula in the first record?
  La2FeGe

Copy entry 1 word for word.
VASP calculation (PBE) on a relaxed La2FeGe crystal.

abc: 6.351 6.351 6.351
angles: 103.41 103.41 122.42
Atoms (fractional coordinates):
La1 0.062 0.125 0.437
La2 0.375 0.938 0.063
La3 0.688 0.625 0.563
La4 0.875 0.312 0.937
Fe1 0.000 0.000 0.000
Fe2 0.750 0.250 0.500
Ge1 0.250 0.750 0.500
Ge2 0.500 0.500 0.000

Properties
- V (Å³ per cell) = 189.48
- energy relative to the elements (eV per atom) = 0.031
- space-group type = I-42d
- total moment (μB per formula unit) = 0.0

Repeat the second record exactly.
VASP calculation (PBE) on a relaxed PmNdHo4 crystal.

abc: 8.862 8.862 6.237
angles: 96.63 96.63 23.40
Atoms (fractional coordinates):
Pm1 0.000 0.000 0.000
Nd1 0.500 0.500 0.500
Ho1 0.168 0.168 0.389
Ho2 0.332 0.332 0.111
Ho3 0.668 0.668 0.889
Ho4 0.832 0.832 0.611

Properties
- V (Å³ per cell) = 193.20
- E above lowest polymorph (meV/atom) = 0
- energy relative to the elements (eV per atom) = -0.007
- space-group type = C2/m
- total moment (μB per formula unit) = 0.0

- What is the V in the third record?
  46.90 Å³ per cell